Computed, not measured: a relaxed structure of AlInRhC2 at the PBE level of DFT.

Summary:
ΔE_f ... 2.30 eV per atom

```
data_AlInRhC2
_symmetry_space_group_name_H-M 'P 4/m m m'
_symmetry_Int_Tables_number 123
_symmetry_space_group_name_Hall '-P 4 2'
_cell_length_a 4.1540
_cell_length_b 4.1540
_cell_length_c 5.1917
_cell_angle_alpha 90.00
_cell_angle_beta 90.00
_cell_angle_gamma 90.00
loop_
_atom_site_label
_atom_site_type_symbol
_atom_site_fract_x
_atom_site_fract_y
_atom_site_fract_z
Al1 Al 0.0000 0.0000 0.0000
In1 In 0.5000 0.5000 0.5000
Rh1 Rh 0.5000 0.5000 0.0000
C1 C 0.0000 0.5000 0.5000
```